The following is a PBE with a Hubbard U calculation of crystalline Rb3Mn16O32 at its relaxed geometry, from the Alexandria database.

Cell: 8.407 8.225 11.822 Å, 120.12 112.59 80.98°
Last column: magnetic moment on the atom in μB.
Element x y z (fractional)
Rb 0.955 0.559 0.164  0.00
Rb 0.045 0.441 0.836  0.00
Rb 0.000 0.500 0.500  0.00
Mn 0.501 0.169 0.989  3.33
Mn 0.547 0.916 0.311  3.37
Mn 0.732 0.784 0.807  4.05
Mn 0.268 0.216 0.193  4.05
Mn 0.216 0.113 0.417  4.03
Mn 0.138 0.962 0.629  3.93
Mn 0.499 0.831 0.011  3.33
Mn 0.500 0.535 0.206  3.23
Mn 0.500 0.465 0.794  3.23
Mn 0.451 0.655 0.473  3.38
Mn 0.948 0.066 0.125  3.98
Mn 0.784 0.887 0.583  4.03
Mn 0.862 0.038 0.371  3.93
Mn 0.052 0.934 0.875  3.98
Mn 0.549 0.345 0.527  3.38
Mn 0.453 0.084 0.689  3.37
O 0.646 0.945 0.970  -0.14
O 0.683 0.254 0.954  -0.15
O 0.369 0.382 0.025  -0.24
O 0.288 0.888 0.517  -0.09
O 0.392 0.126 0.339  -0.12
O 0.631 0.618 0.975  -0.24
O 0.998 0.963 0.255  -0.12
O 0.934 0.831 0.481  -0.10
O 0.898 0.735 0.714  -0.15
O 0.044 0.168 0.042  -0.14
O 0.436 0.225 0.587  -0.12
O 0.338 0.495 0.276  -0.10
O 0.317 0.746 0.046  -0.15
O 0.657 0.248 0.828  -0.18
O 0.630 0.480 0.471  -0.17
O 0.657 0.683 0.222  -0.28
O 0.354 0.055 0.030  -0.14
O 0.370 0.520 0.529  -0.17
O 0.343 0.752 0.172  -0.18
O 0.564 0.775 0.413  -0.12
O 0.662 0.505 0.724  -0.10
O 0.636 0.984 0.216  -0.13
O 0.066 0.169 0.519  -0.10
O 0.002 0.037 0.745  -0.12
O 0.102 0.265 0.286  -0.15
O 0.956 0.832 0.958  -0.14
O 0.363 0.678 0.821  -0.14
O 0.637 0.322 0.179  -0.14
O 0.608 0.874 0.661  -0.12
O 0.712 0.112 0.483  -0.09
O 0.364 0.016 0.784  -0.13
O 0.343 0.317 0.778  -0.28

* energy above the most stable polymorph in this dataset: 255.5 meV/atom
* raw total energy: -6.74 eV/atom
* SG: No. 2
* total moment: 55.0 μB/cell